First-principles (PBE-GGA) data for a geometry-optimized Pm4GaPtBr2 structure, as listed in Alexandria.

Values from the calculation:
Calculated density = 7.213 g/cm³
Electronic total energy = -4.9633 eV/atom
DOS(E_F) = 0.899 states/eV/atom
Energy relative to the elements, uncorrected = -1036 meV/atom
SG = P2/m

a b c (Å): 7.6356 4.0868 7.7836
angles (deg): 90.00 107.79 90.00
Fractional positions:
Pm1 0.2292 0.0000 0.2031
Pm2 0.2488 0.5000 0.7781
Pm3 0.7512 0.5000 0.2219
Pm4 0.7708 0.0000 0.7969
Ga1 0.5000 0.0000 0.0000
Pt1 0.0000 0.5000 0.0000
Br1 0.0000 0.0000 0.5000
Br2 0.5000 0.5000 0.5000

First-principles (PBE-GGA) data for a geometry-optimized Rb2PmGaBr6 structure, as listed in Alexandria.

Values from the calculation:
Calculated density = 3.703 g/cm³
Electronic total energy = -3.5676 eV/atom
DOS(E_F) = 0.000 states/eV/atom
Energy relative to the elements, uncorrected = -1593 meV/atom
SG = P2_1/c

a b c (Å): 8.0085 8.4262 13.9315
angles (deg): 90.00 124.38 90.00
Fractional positions:
Rb1 0.2232 0.0719 0.2481
Rb2 0.2232 0.4281 0.7481
Rb3 0.7768 0.5719 0.2519
Rb4 0.7768 0.9281 0.7519
Pm1 0.5000 0.0000 0.0000
Pm2 0.5000 0.5000 0.5000
Ga1 0.0000 0.0000 0.5000
Ga2 0.0000 0.5000 0.0000
Br1 0.1594 0.1899 0.9507
Br2 0.1594 0.3101 0.4507
Br3 0.2618 0.7143 0.9468
Br4 0.2618 0.7857 0.4468
Br5 0.3617 0.0290 0.7596
Br6 0.3617 0.4710 0.2596
Br7 0.6383 0.5290 0.7404
Br8 0.6383 0.9710 0.2404
Br9 0.7382 0.2143 0.5532
Br10 0.7382 0.2857 0.0532
Br11 0.8406 0.6899 0.5493
Br12 0.8406 0.8101 0.0493

First-principles (PBE-GGA) data for a geometry-optimized Pm8Ga3RhBr4 structure, as listed in Alexandria.

Values from the calculation:
Calculated density = 6.526 g/cm³
Electronic total energy = -4.7278 eV/atom
DOS(E_F) = 0.860 states/eV/atom
Energy relative to the elements, uncorrected = -907 meV/atom
SG = C2/m

a b c (Å): 8.5008 8.5008 8.7977
angles (deg): 118.98 118.98 59.87
Fractional positions:
Pm1 0.2312 0.2312 0.7136
Pm2 0.2308 0.7511 0.7129
Pm3 0.2489 0.7692 0.2871
Pm4 0.2558 0.2558 0.2671
Pm5 0.7442 0.7442 0.7329
Pm6 0.7511 0.2308 0.7129
Pm7 0.7692 0.2489 0.2871
Pm8 0.7688 0.7688 0.2864
Ga1 0.0000 0.5000 0.5000
Ga2 0.5000 0.0000 0.5000
Ga3 0.5000 0.5000 0.5000
Rh1 0.0000 0.0000 0.5000
Br1 0.0000 0.0000 0.0000
Br2 0.0000 0.5000 0.0000
Br3 0.5000 0.0000 0.0000
Br4 0.5000 0.5000 0.0000